(1)
An optimized crystal structure of CaHfSc, computed with PBE.

Computed properties:
Formation enthalpy at 0 K: 23.6 kJ per mole of atoms

abc: 3.3396 3.3401 16.7208
angles: 90.00 90.00 119.99
Sites, in units of the cell vectors:
Hf1 0.6111 0.2221 0.3529
Hf2 0.6111 0.2221 0.6471
Ca1 0.2782 0.5564 0.8194
Ca2 0.2782 0.5564 0.1806
Sc1 0.2777 0.5554 0.5000
Sc2 0.6104 0.2207 0.0000



(2)
An optimized crystal structure of CaHf2Sc2, computed with PBE.

Computed properties:
Formation enthalpy at 0 K: 20.8 kJ per mole of atoms
Energy above the most stable polymorph in this dataset: 0.168 eV per formula unit

abc: 8.8621 8.8621 3.2465
angles: 90.00 90.00 90.00
Sites, in units of the cell vectors:
Sc1 0.8781 0.6219 0.0000
Sc2 0.6219 0.1219 0.0000
Sc3 0.3781 0.8781 0.0000
Sc4 0.1219 0.3781 0.0000
Ca1 0.5000 0.5000 0.0000
Ca2 0.0000 0.0000 0.0000
Hf1 0.3291 0.1709 0.5000
Hf2 0.6709 0.8291 0.5000
Hf3 0.8291 0.3291 0.5000
Hf4 0.1709 0.6709 0.5000



(3)
An optimized crystal structure of Ca3HfSc, computed with PBE.

Computed properties:
Formation enthalpy at 0 K: 101.8 kJ per mole of atoms
Energy above the most stable polymorph in this dataset: 0.000 eV per formula unit

abc: 5.7231 5.7231 5.7231
angles: 90.00 90.00 90.00
Sites, in units of the cell vectors:
Sc1 0.5000 0.5000 0.5000
Hf1 0.0000 0.0000 0.0000
Ca1 0.5000 0.0000 0.0000
Ca2 0.0000 0.5000 0.0000
Ca3 0.0000 0.0000 0.5000



(4)
An optimized crystal structure of CaHf2Sc2, computed with PBE.

Computed properties:
Formation enthalpy at 0 K: 17.5 kJ per mole of atoms
Energy above the most stable polymorph in this dataset: 0.000 eV per formula unit

abc: 8.7968 8.7968 3.3668
angles: 90.00 90.00 90.00
Sites, in units of the cell vectors:
Sc1 0.1719 0.6719 0.5000
Sc2 0.6719 0.8281 0.5000
Sc3 0.3281 0.1719 0.5000
Sc4 0.8281 0.3281 0.5000
Hf1 0.6176 0.1176 0.0000
Hf2 0.8824 0.6176 0.0000
Hf3 0.3824 0.8824 0.0000
Hf4 0.1176 0.3824 0.0000
Ca1 0.0000 0.0000 0.0000
Ca2 0.5000 0.5000 0.0000



(5)
An optimized crystal structure of Ca2HfSc, computed with PBE.

Computed properties:
Formation enthalpy at 0 K: 52.1 kJ per mole of atoms
Energy above the most stable polymorph in this dataset: 0.000 eV per formula unit

abc: 5.5045 5.5045 5.5045
angles: 60.00 60.00 60.00
Sites, in units of the cell vectors:
Hf1 0.5000 0.5000 0.5000
Sc1 0.0000 0.0000 0.0000
Ca1 0.2500 0.2500 0.2500
Ca2 0.7500 0.7500 0.7500



(6)
An optimized crystal structure of CaHfSc2Sn, computed with PBE.

Computed properties:
Formation enthalpy at 0 K: 72.3 kJ per mole of atoms

abc: 5.2146 5.5966 5.2146
angles: 90.00 90.00 90.00
Sites, in units of the cell vectors:
Sc1 0.5000 0.0000 0.0000
Sc2 0.0000 0.0000 0.5000
Hf1 0.0000 0.0000 0.0000
Ca1 0.0000 0.5000 0.0000
Sn1 0.5000 0.5000 0.5000



(7)
An optimized crystal structure of CaHfSc2Ti, computed with PBE.

Computed properties:
Formation enthalpy at 0 K: 65.2 kJ per mole of atoms

abc: 5.3495 4.9774 5.3495
angles: 90.00 90.00 90.00
Sites, in units of the cell vectors:
Sc1 0.5000 0.0000 0.0000
Sc2 0.0000 0.0000 0.5000
Ti1 0.0000 0.5000 0.0000
Ca1 0.5000 0.5000 0.5000
Hf1 0.0000 0.0000 0.0000



(8)
An optimized crystal structure of CaHf2ScW, computed with PBE.

Computed properties:
Formation enthalpy at 0 K: 133.4 kJ per mole of atoms

abc: 5.1841 4.7505 5.1841
angles: 90.00 90.00 90.00
Sites, in units of the cell vectors:
W1 0.0000 0.5000 0.0000
Hf1 0.5000 0.0000 0.0000
Hf2 0.0000 0.0000 0.5000
Ca1 0.5000 0.5000 0.5000
Sc1 0.0000 0.0000 0.0000



- What is the formula in the seventh record?
  CaHfSc2Ti



What did the fifth record say?
An optimized crystal structure of Ca2HfSc, computed with PBE.

Computed properties:
Formation enthalpy at 0 K: 52.1 kJ per mole of atoms
Energy above the most stable polymorph in this dataset: 0.000 eV per formula unit

abc: 5.5045 5.5045 5.5045
angles: 60.00 60.00 60.00
Sites, in units of the cell vectors:
Hf1 0.5000 0.5000 0.5000
Sc1 0.0000 0.0000 0.0000
Ca1 0.2500 0.2500 0.2500
Ca2 0.7500 0.7500 0.7500



- Number 2 is which compound?
  CaHf2Sc2